Entry 1:
{
  "formula": "CaZnW2",
  "functional": "GGA-PBEsol",
  "state": "relaxed",
  "mass_density_g_cm3": 10.48,
  "space_group": "No. 6",
  "vol_a3_per_cell": 75.0,
  "formation_enthalpy_0k_ev_per_atom": 0.40,
  "total_energy_ev_per_cell": -29.750,
  "lattice_angstrom": [[3.2771, 0.0000, 0.1193], [0.0000, 3.2248, 0.0000], [-0.4052, 0.0000, 7.0777]],
  "species": ["Ca", "W", "W", "Zn"],
  "frac_coords": [[0.5078, 0.5000, 0.7483], [0.0112, 0.0000, 0.0610], [0.4849, 0.5000, 0.2364], [0.9962, 0.0000, 0.4543]]
}

=====

Entry 2:
{
  "formula": "MgReW2I",
  "functional": "GGA-PBEsol",
  "state": "relaxed",
  "mass_density_g_cm3": 10.47,
  "space_group": "No. 123",
  "vol_a3_per_cell": 111.8,
  "total_energy_ev_per_cell": -31.493,
  "lattice_angstrom": [[4.7948, 0.0000, 0.0000], [0.0000, 4.8283, 0.0000], [0.0000, 0.0000, 4.8283]],
  "species": ["I", "Re", "Mg", "W", "W"],
  "frac_coords": [[0.0000, 0.0000, 0.0000], [0.5000, 0.0000, 0.0000], [0.5000, 0.5000, 0.5000], [0.0000, 0.0000, 0.5000], [0.0000, 0.5000, 0.0000]]
}

=====

Entry 3:
{
  "formula": "In2FeTc",
  "functional": "GGA-PBEsol",
  "state": "relaxed",
  "mass_density_g_cm3": 9.92,
  "space_group": "No. 123",
  "vol_a3_per_cell": 64.2,
  "formation_enthalpy_0k_ev_per_atom": 0.35,
  "total_energy_ev_per_cell": -24.794,
  "lattice_angstrom": [[-0.1152, -2.9167, -1.4139], [1.4615, -1.3096, 2.5823], [-5.4429, -1.0260, 2.5601]],
  "species": ["Fe", "In", "In", "Tc"],
  "frac_coords": [[0.5000, 0.5000, 0.5000], [0.0000, 0.0000, 0.7446], [0.0000, 0.0000, 0.2554], [0.5000, 0.5000, 0.0000]]
}

=====

Entry 4:
{
  "formula": "AsOs2Rh",
  "functional": "GGA-PBEsol",
  "state": "relaxed",
  "mass_density_g_cm3": 16.50,
  "space_group": "No. 166",
  "vol_a3_per_cell": 56.2,
  "formation_enthalpy_0k_ev_per_atom": 0.32,
  "total_energy_ev_per_cell": -36.410,
  "lattice_angstrom": [[-0.9167, -1.4427, -2.2291], [-0.6504, -2.7205, 0.2582], [-8.2676, 0.6415, 1.2148]],
  "species": ["Rh", "As", "Os", "Os"],
  "frac_coords": [[0.5000, 0.5000, 0.5000], [0.0000, 0.0000, 0.0000], [0.2540, 0.2540, 0.2379], [0.7460, 0.7460, 0.7621]]
}

=====

Entry 5:
{
  "formula": "TaHg2Rh",
  "functional": "GGA-PBEsol",
  "state": "relaxed",
  "relative_energy_mev_per_atom": 11.4,
  "mass_density_g_cm3": 16.21,
  "space_group": "No. 10",
  "vol_a3_per_cell": 70.2,
  "formation_enthalpy_0k_ev_per_atom": 0.24,
  "total_energy_ev_per_cell": -20.871,
  "lattice_angstrom": [[2.8596, 0.0000, -0.0933], [0.0000, 4.6586, 0.0000], [-0.9262, 0.0000, 5.2984]],
  "species": ["Hg", "Hg", "Rh", "Ta"],
  "frac_coords": [[0.6689, 0.0000, 0.7584], [0.3311, 0.0000, 0.2416], [0.5000, 0.5000, 0.0000], [0.0000, 0.5000, 0.5000]]
}

=====

Entry 6:
{
  "formula": "RePbAu2N",
  "functional": "GGA-PBEsol",
  "state": "relaxed",
  "mass_density_g_cm3": 15.25,
  "space_group": "No. 123",
  "vol_a3_per_cell": 87.3,
  "total_energy_ev_per_cell": -30.145,
  "lattice_angstrom": [[3.8251, 0.0000, 0.0000], [0.0000, 4.7764, 0.0000], [0.0000, 0.0000, 4.7764]],
  "species": ["Pb", "Re", "Au", "Au", "N"],
  "frac_coords": [[0.5000, 0.5000, 0.5000], [0.5000, 0.0000, 0.0000], [0.0000, 0.0000, 0.5000], [0.0000, 0.5000, 0.0000], [0.0000, 0.0000, 0.0000]]
}

=====

Entry 7:
{
  "formula": "TaMnTc2",
  "functional": "GGA-PBEsol",
  "state": "relaxed",
  "mass_density_g_cm3": 12.76,
  "space_group": "No. 65",
  "vol_a3_per_cell": 56.2,
  "formation_enthalpy_0k_ev_per_atom": 0.07,
  "total_energy_ev_per_cell": -44.585,
  "lattice_angstrom": [[2.6904, 0.1155, 0.0000], [-0.0653, 2.6920, 0.0000], [0.0000, 0.0000, 7.7535]],
  "species": ["Mn", "Ta", "Tc", "Tc"],
  "frac_coords": [[0.5000, 0.5000, 0.5000], [0.5000, 0.5000, 0.0000], [0.0000, 0.0000, 0.2861], [0.0000, 0.0000, 0.7139]]
}

=====

Entry 8:
{
  "formula": "ZrMo2Ir",
  "functional": "GGA-PBEsol",
  "state": "relaxed",
  "relative_energy_mev_per_atom": 43.9,
  "mass_density_g_cm3": 12.15,
  "space_group": "No. 71",
  "vol_a3_per_cell": 65.0,
  "formation_enthalpy_0k_ev_per_atom": -0.15,
  "total_energy_ev_per_cell": -43.030,
  "lattice_angstrom": [[-1.9544, -0.1882, 2.6934], [3.0836, -2.1708, 2.0859], [1.1532, 5.0794, -0.8707]],
  "species": ["Ir", "Mo", "Mo", "Zr"],
  "frac_coords": [[0.0000, 0.5000, 0.0000], [0.7526, 0.7526, 0.5053], [0.2474, 0.2474, 0.4947], [0.5000, 0.0000, 0.0000]]
}

=====

Entry 9:
{
  "formula": "GeB3Cl",
  "functional": "GGA-PBEsol",
  "state": "relaxed",
  "mass_density_g_cm3": 4.05,
  "space_group": "No. 221",
  "vol_a3_per_cell": 57.6,
  "total_energy_ev_per_cell": -17.116,
  "lattice_angstrom": [[3.8610, 0.0000, 0.0000], [0.0000, 3.8610, 0.0000], [0.0000, 0.0000, 3.8610]],
  "species": ["Ge", "B", "B", "B", "Cl"],
  "frac_coords": [[0.5000, 0.5000, 0.5000], [0.0000, 0.5000, 0.0000], [0.0000, 0.0000, 0.5000], [0.5000, 0.0000, 0.0000], [0.0000, 0.0000, 0.0000]]
}

=====

Entry 10:
{
  "formula": "Na3LaAs2O8",
  "functional": "GGA-PBEsol",
  "state": "relaxed",
  "mass_density_g_cm3": 3.74,
  "space_group": "No. 164",
  "vol_a3_per_cell": 215.4,
  "total_energy_ev_per_cell": -88.133,
  "lattice_angstrom": [[5.9252, 0.0000, 0.0000], [-2.9626, 5.1314, 0.0000], [0.0000, 0.0000, 7.0835]],
  "species": ["Na", "Na", "Na", "La", "As", "As", "O", "O", "O", "O", "O", "O", "O", "O"],
  "frac_coords": [[0.6667, 0.3333, 0.3344], [0.3333, 0.6667, 0.6656], [0.0000, 0.0000, 0.0000], [0.0000, 0.0000, 0.5000], [0.6667, 0.3333, 0.7989], [0.3333, 0.6667, 0.2011], [0.6667, 0.3333, 0.0334], [0.3333, 0.6667, 0.9666], [0.8205, 0.6409, 0.7002], [0.1795, 0.3591, 0.2998], [0.8205, 0.1795, 0.7002], [0.1795, 0.8205, 0.2998], [0.3591, 0.1795, 0.7002], [0.6409, 0.8205, 0.2998]]
}

=====

Entry 11:
{
  "formula": "La2GaNiO6",
  "functional": "GGA-PBEsol",
  "state": "relaxed",
  "mass_density_g_cm3": 7.34,
  "space_group": "No. 148",
  "vol_a3_per_cell": 113.6,
  "total_energy_ev_per_cell": -76.122,
  "lattice_angstrom": [[-0.3222, 5.3460, -0.6101], [-0.3041, 2.0366, -4.9815], [-4.6573, 2.1544, -1.6503]],
  "species": ["La", "La", "Ga", "Ni", "O", "O", "O", "O", "O", "O"],
  "frac_coords": [[0.7510, 0.7510, 0.7510], [0.2490, 0.2490, 0.2490], [0.5000, 0.5000, 0.5000], [0.0000, 0.0000, 0.0000], [0.3075, 0.1889, 0.7531], [0.7531, 0.3075, 0.1889], [0.1889, 0.7531, 0.3075], [0.2469, 0.6925, 0.8111], [0.8111, 0.2469, 0.6925], [0.6925, 0.8111, 0.2469]]
}

=====

Entry 12:
{
  "formula": "CrGe3Pt",
  "functional": "GGA-PBEsol",
  "state": "relaxed",
  "mass_density_g_cm3": 8.28,
  "space_group": "No. 221",
  "vol_a3_per_cell": 93.2,
  "formation_enthalpy_0k_ev_per_atom": 0.58,
  "total_energy_ev_per_cell": -29.133,
  "lattice_angstrom": [[-3.9614, 1.9199, -1.0876], [-2.2049, -3.5287, 1.8022], [-0.0833, 2.1033, 4.0163]],
  "species": ["Cr", "Ge", "Ge", "Ge", "Pt"],
  "frac_coords": [[0.0000, 0.0000, 0.0000], [0.0000, 0.5000, 0.0000], [0.0000, 0.0000, 0.5000], [0.5000, 0.0000, 0.0000], [0.5000, 0.5000, 0.5000]]
}

=====

no.,Fermi-level density of states (states/eV/f.u.)
1,4.01
2,5.61
3,4.44
4,3.85
5,2.10
6,3.64
7,3.77
8,3.12
9,1.96
10,0.00
11,1.84
12,4.15